## a
# P3SeF PBE-GGA relaxed
data_P3SeF
_chemical_formula_sum 'P3 Se1 F1'
_symmetry_space_group_name_H-M 'P m -3 m'
_symmetry_Int_Tables_number 221
_symmetry_space_group_name_Hall '-P 4 2 3'
_cell_length_a 4.776
_cell_length_b 4.776
_cell_length_c 4.776
_cell_angle_alpha 90.00
_cell_angle_beta 90.00
_cell_angle_gamma 90.00
loop_
_atom_site_label
_atom_site_fract_x
_atom_site_fract_y
_atom_site_fract_z
_atom_site_occupancy
P1 0.000 0.000 0.500 1
Se1 0.000 0.000 0.000 1
F1 0.500 0.500 0.500 1
# Density in Mg/m³: 2.91


## b
# P3SeF PBE-GGA relaxed
data_P3SeF
_chemical_formula_sum 'P3 Se1 F1'
_symmetry_space_group_name_H-M 'P m -3 m'
_symmetry_Int_Tables_number 221
_symmetry_space_group_name_Hall '-P 4 2 3'
_cell_length_a 4.427
_cell_length_b 4.427
_cell_length_c 4.427
_cell_angle_alpha 90.00
_cell_angle_beta 90.00
_cell_angle_gamma 90.00
loop_
_atom_site_label
_atom_site_fract_x
_atom_site_fract_y
_atom_site_fract_z
_atom_site_occupancy
P1 0.000 0.000 0.500 1
Se1 0.500 0.500 0.500 1
F1 0.000 0.000 0.000 1
# Density in Mg/m³: 3.65


The least stable of them is a.


## a
# SiP2F PBE-GGA relaxed
data_SiP2F
_chemical_formula_sum 'Si4 P8 F4'
_symmetry_space_group_name_H-M 'F m -3 m'
_symmetry_Int_Tables_number 225
_symmetry_space_group_name_Hall '-F 4 2 3'
_cell_length_a 5.887
_cell_length_b 5.887
_cell_length_c 5.887
_cell_angle_alpha 90.00
_cell_angle_beta 90.00
_cell_angle_gamma 90.00
loop_
_atom_site_label
_atom_site_fract_x
_atom_site_fract_y
_atom_site_fract_z
_atom_site_occupancy
Si1 0.000 0.000 0.000 1
P1 0.250 0.250 0.250 1
F1 0.000 0.000 0.500 1
# Density in Mg/m³: 3.55


## b
# SiP2F PBE-GGA relaxed
data_SiP2F
_chemical_formula_sum 'Si4 P8 F4'
_symmetry_space_group_name_H-M 'I -4 2 d'
_symmetry_Int_Tables_number 122
_symmetry_space_group_name_Hall 'I -4 2bw'
_cell_length_a 5.442
_cell_length_b 5.442
_cell_length_c 10.537
_cell_angle_alpha 90.00
_cell_angle_beta 90.00
_cell_angle_gamma 90.00
loop_
_atom_site_label
_atom_site_fract_x
_atom_site_fract_y
_atom_site_fract_z
_atom_site_occupancy
Si1 0.000 0.000 0.000 1
P1 0.228 0.250 0.125 1
F1 0.000 0.000 0.500 1
# Density in Mg/m³: 2.32


The least stable of them is b.


## a
# SiP3F PBE-GGA relaxed
data_SiP3F
_chemical_formula_sum 'Si1 P3 F1'
_symmetry_space_group_name_H-M 'P m -3 m'
_symmetry_Int_Tables_number 221
_symmetry_space_group_name_Hall '-P 4 2 3'
_cell_length_a 4.460
_cell_length_b 4.460
_cell_length_c 4.460
_cell_angle_alpha 90.00
_cell_angle_beta 90.00
_cell_angle_gamma 90.00
loop_
_atom_site_label
_atom_site_fract_x
_atom_site_fract_y
_atom_site_fract_z
_atom_site_occupancy
Si1 0.000 0.000 0.000 1
P1 0.000 0.000 0.500 1
F1 0.500 0.500 0.500 1
# Density in Mg/m³: 2.62


## b
# SiP3F PBE-GGA relaxed
data_SiP3F
_chemical_formula_sum 'Si1 P3 F1'
_symmetry_space_group_name_H-M 'P m -3 m'
_symmetry_Int_Tables_number 221
_symmetry_space_group_name_Hall '-P 4 2 3'
_cell_length_a 4.356
_cell_length_b 4.356
_cell_length_c 4.356
_cell_angle_alpha 90.00
_cell_angle_beta 90.00
_cell_angle_gamma 90.00
loop_
_atom_site_label
_atom_site_fract_x
_atom_site_fract_y
_atom_site_fract_z
_atom_site_occupancy
Si1 0.000 0.000 0.000 1
P1 0.000 0.500 0.500 1
F1 0.500 0.500 0.500 1
# Density in Mg/m³: 2.81


The least stable of them is b.


## a
# SmPF PBE-GGA relaxed
data_SmPF
_chemical_formula_sum 'Sm1 P1 F1'
_symmetry_space_group_name_H-M 'P -6 m 2'
_symmetry_Int_Tables_number 187
_symmetry_space_group_name_Hall 'P -6 2'
_cell_length_a 3.9875
_cell_length_b 3.9875
_cell_length_c 4.2157
_cell_angle_alpha 90.00
_cell_angle_beta 90.00
_cell_angle_gamma 120.00
loop_
_atom_site_label
_atom_site_fract_x
_atom_site_fract_y
_atom_site_fract_z
_atom_site_occupancy
Sm1 0.0000 0.0000 0.0000 1
P1 0.6667 0.3333 0.5000 1
F1 0.3333 0.6667 0.0000 1
# Density in Mg/m³: 5.73


## b
# SmPF PBE-GGA relaxed
data_SmPF
_chemical_formula_sum 'Sm2 P2 F2'
_symmetry_space_group_name_H-M 'I 4 m m'
_symmetry_Int_Tables_number 107
_symmetry_space_group_name_Hall 'I 4 -2'
_cell_length_a 3.313
_cell_length_b 3.313
_cell_length_c 10.047
_cell_angle_alpha 90.00
_cell_angle_beta 90.00
_cell_angle_gamma 90.00
loop_
_atom_site_label
_atom_site_fract_x
_atom_site_fract_y
_atom_site_fract_z
_atom_site_occupancy
Sm1 0.000 0.000 0.000 1
P1 0.000 0.000 0.302 1
F1 0.000 0.000 0.584 1
# Density in Mg/m³: 6.03


The least stable of them is b.


## a
# SnP2F PBE-GGA relaxed
data_SnP2F
_chemical_formula_sum 'Sn4 P8 F4'
_symmetry_space_group_name_H-M 'F m -3 m'
_symmetry_Int_Tables_number 225
_symmetry_space_group_name_Hall '-F 4 2 3'
_cell_length_a 6.389
_cell_length_b 6.389
_cell_length_c 6.389
_cell_angle_alpha 90.00
_cell_angle_beta 90.00
_cell_angle_gamma 90.00
loop_
_atom_site_label
_atom_site_fract_x
_atom_site_fract_y
_atom_site_fract_z
_atom_site_occupancy
Sn1 0.000 0.000 0.000 1
P1 0.250 0.250 0.250 1
F1 0.000 0.000 0.500 1
# Density in Mg/m³: 5.08


## b
# SnP2F PBE-GGA relaxed
data_SnP2F
_chemical_formula_sum 'Sn4 P8 F4'
_symmetry_space_group_name_H-M 'I -4 2 d'
_symmetry_Int_Tables_number 122
_symmetry_space_group_name_Hall 'I -4 2bw'
_cell_length_a 3.572
_cell_length_b 3.572
_cell_length_c 22.881
_cell_angle_alpha 90.00
_cell_angle_beta 90.00
_cell_angle_gamma 90.00
loop_
_atom_site_label
_atom_site_fract_x
_atom_site_fract_y
_atom_site_fract_z
_atom_site_occupancy
Sn1 0.000 0.000 0.000 1
P1 0.194 0.250 0.625 1
F1 0.000 0.000 0.500 1
# Density in Mg/m³: 4.54


The least stable of them is a.


## a
# SnPF2 PBE-GGA relaxed
data_SnPF2
_chemical_formula_sum 'Sn4 P4 F8'
_symmetry_space_group_name_H-M 'I -4 2 d'
_symmetry_Int_Tables_number 122
_symmetry_space_group_name_Hall 'I -4 2bw'
_cell_length_a 6.738
_cell_length_b 6.738
_cell_length_c 10.640
_cell_angle_alpha 90.00
_cell_angle_beta 90.00
_cell_angle_gamma 90.00
loop_
_atom_site_label
_atom_site_fract_x
_atom_site_fract_y
_atom_site_fract_z
_atom_site_occupancy
Sn1 0.000 0.000 0.000 1
P1 0.000 0.000 0.500 1
F1 0.095 0.250 0.125 1
# Density in Mg/m³: 2.58


## b
# SnPF2 PBE-GGA relaxed
data_SnPF2
_chemical_formula_sum 'Sn3 P3 F6'
_symmetry_space_group_name_H-M 'R -3 m'
_symmetry_Int_Tables_number 166
_symmetry_space_group_name_Hall '-R 3 2"'
_cell_length_a 3.0761
_cell_length_b 3.0761
_cell_length_c 24.2852
_cell_angle_alpha 90.00
_cell_angle_beta 90.00
_cell_angle_gamma 120.00
loop_
_atom_site_label
_atom_site_fract_x
_atom_site_fract_y
_atom_site_fract_z
_atom_site_occupancy
Sn1 0.0000 0.0000 0.0000 1
P1 0.0000 0.0000 0.5000 1
F1 0.0000 0.0000 0.4228 1
# Density in Mg/m³: 4.70


The least stable of them is a.


## a
# SnP3F PBE-GGA relaxed
data_SnP3F
_chemical_formula_sum 'Sn1 P3 F1'
_symmetry_space_group_name_H-M 'P m -3 m'
_symmetry_Int_Tables_number 221
_symmetry_space_group_name_Hall '-P 4 2 3'
_cell_length_a 4.495
_cell_length_b 4.495
_cell_length_c 4.495
_cell_angle_alpha 90.00
_cell_angle_beta 90.00
_cell_angle_gamma 90.00
loop_
_atom_site_label
_atom_site_fract_x
_atom_site_fract_y
_atom_site_fract_z
_atom_site_occupancy
Sn1 0.000 0.000 0.000 1
P1 0.000 0.500 0.500 1
F1 0.500 0.500 0.500 1
# Density in Mg/m³: 4.22


## b
# SnP3F PBE-GGA relaxed
data_SnP3F
_chemical_formula_sum 'Sn1 P3 F1'
_symmetry_space_group_name_H-M 'P m -3 m'
_symmetry_Int_Tables_number 221
_symmetry_space_group_name_Hall '-P 4 2 3'
_cell_length_a 5.050
_cell_length_b 5.050
_cell_length_c 5.050
_cell_angle_alpha 90.00
_cell_angle_beta 90.00
_cell_angle_gamma 90.00
loop_
_atom_site_label
_atom_site_fract_x
_atom_site_fract_y
_atom_site_fract_z
_atom_site_occupancy
Sn1 0.000 0.000 0.000 1
P1 0.000 0.000 0.500 1
F1 0.500 0.500 0.500 1
# Density in Mg/m³: 2.97


The least stable of them is b.


## a
# SrPF3 PBE-GGA relaxed
data_SrPF3
_chemical_formula_sum 'Sr1 P1 F3'
_symmetry_space_group_name_H-M 'P m -3 m'
_symmetry_Int_Tables_number 221
_symmetry_space_group_name_Hall '-P 4 2 3'
_cell_length_a 4.452
_cell_length_b 4.452
_cell_length_c 4.452
_cell_angle_alpha 90.00
_cell_angle_beta 90.00
_cell_angle_gamma 90.00
loop_
_atom_site_label
_atom_site_fract_x
_atom_site_fract_y
_atom_site_fract_z
_atom_site_occupancy
Sr1 0.000 0.000 0.000 1
P1 0.500 0.500 0.500 1
F1 0.000 0.500 0.500 1
# Density in Mg/m³: 3.30


## b
# SrPF3 PBE-GGA relaxed
data_SrPF3
_chemical_formula_sum 'Sr1 P1 F3'
_symmetry_space_group_name_H-M 'P m -3 m'
_symmetry_Int_Tables_number 221
_symmetry_space_group_name_Hall '-P 4 2 3'
_cell_length_a 4.734
_cell_length_b 4.734
_cell_length_c 4.734
_cell_angle_alpha 90.00
_cell_angle_beta 90.00
_cell_angle_gamma 90.00
loop_
_atom_site_label
_atom_site_fract_x
_atom_site_fract_y
_atom_site_fract_z
_atom_site_occupancy
Sr1 0.000 0.000 0.000 1
P1 0.500 0.500 0.500 1
F1 0.000 0.000 0.500 1
# Density in Mg/m³: 2.75


The least stable of them is a.


## a
# TaP2F PBE-GGA relaxed
data_TaP2F
_chemical_formula_sum 'Ta4 P8 F4'
_symmetry_space_group_name_H-M 'I -4 2 d'
_symmetry_Int_Tables_number 122
_symmetry_space_group_name_Hall 'I -4 2bw'
_cell_length_a 5.525
_cell_length_b 5.525
_cell_length_c 11.025
_cell_angle_alpha 90.00
_cell_angle_beta 90.00
_cell_angle_gamma 90.00
loop_
_atom_site_label
_atom_site_fract_x
_atom_site_fract_y
_atom_site_fract_z
_atom_site_occupancy
Ta1 0.000 0.000 0.000 1
P1 0.244 0.250 0.125 1
F1 0.000 0.000 0.500 1
# Density in Mg/m³: 5.17


## b
# TaP2F PBE-GGA relaxed
data_TaP2F
_chemical_formula_sum 'Ta4 P8 F4'
_symmetry_space_group_name_H-M 'F m -3 m'
_symmetry_Int_Tables_number 225
_symmetry_space_group_name_Hall '-F 4 2 3'
_cell_length_a 6.123
_cell_length_b 6.123
_cell_length_c 6.123
_cell_angle_alpha 90.00
_cell_angle_beta 90.00
_cell_angle_gamma 90.00
loop_
_atom_site_label
_atom_site_fract_x
_atom_site_fract_y
_atom_site_fract_z
_atom_site_occupancy
Ta1 0.000 0.000 0.000 1
P1 0.250 0.250 0.250 1
F1 0.000 0.000 0.500 1
# Density in Mg/m³: 7.58


The least stable of them is a.


## a
# Ta2PF PBE-GGA relaxed
data_Ta2PF
_chemical_formula_sum 'Ta8 P4 F4'
_symmetry_space_group_name_H-M 'I -4 2 d'
_symmetry_Int_Tables_number 122
_symmetry_space_group_name_Hall 'I -4 2bw'
_cell_length_a 6.410
_cell_length_b 6.410
_cell_length_c 5.766
_cell_angle_alpha 90.00
_cell_angle_beta 90.00
_cell_angle_gamma 90.00
loop_
_atom_site_label
_atom_site_fract_x
_atom_site_fract_y
_atom_site_fract_z
_atom_site_occupancy
Ta1 0.205 0.250 0.125 1
P1 0.000 0.000 0.500 1
F1 0.000 0.000 0.000 1
# Density in Mg/m³: 11.55


## b
# Ta2PF PBE-GGA relaxed
data_Ta2PF
_chemical_formula_sum 'Ta8 P4 F4'
_symmetry_space_group_name_H-M 'F m -3 m'
_symmetry_Int_Tables_number 225
_symmetry_space_group_name_Hall '-F 4 2 3'
_cell_length_a 6.078
_cell_length_b 6.078
_cell_length_c 6.078
_cell_angle_alpha 90.00
_cell_angle_beta 90.00
_cell_angle_gamma 90.00
loop_
_atom_site_label
_atom_site_fract_x
_atom_site_fract_y
_atom_site_fract_z
_atom_site_occupancy
Ta1 0.250 0.250 0.250 1
P1 0.000 0.000 0.000 1
F1 0.000 0.000 0.500 1
# Density in Mg/m³: 12.18


The least stable of them is a.


## a
# TaPF3 PBE-GGA relaxed
data_TaPF3
_chemical_formula_sum 'Ta1 P1 F3'
_symmetry_space_group_name_H-M 'P m -3 m'
_symmetry_Int_Tables_number 221
_symmetry_space_group_name_Hall '-P 4 2 3'
_cell_length_a 4.217
_cell_length_b 4.217
_cell_length_c 4.217
_cell_angle_alpha 90.00
_cell_angle_beta 90.00
_cell_angle_gamma 90.00
loop_
_atom_site_label
_atom_site_fract_x
_atom_site_fract_y
_atom_site_fract_z
_atom_site_occupancy
Ta1 0.000 0.000 0.000 1
P1 0.500 0.500 0.500 1
F1 0.000 0.000 0.500 1
# Density in Mg/m³: 5.96


## b
# TaPF3 PBE-GGA relaxed
data_TaPF3
_chemical_formula_sum 'Ta1 P1 F3'
_symmetry_space_group_name_H-M 'P m -3 m'
_symmetry_Int_Tables_number 221
_symmetry_space_group_name_Hall '-P 4 2 3'
_cell_length_a 4.281
_cell_length_b 4.281
_cell_length_c 4.281
_cell_angle_alpha 90.00
_cell_angle_beta 90.00
_cell_angle_gamma 90.00
loop_
_atom_site_label
_atom_site_fract_x
_atom_site_fract_y
_atom_site_fract_z
_atom_site_occupancy
Ta1 0.000 0.000 0.000 1
P1 0.500 0.500 0.500 1
F1 0.000 0.500 0.500 1
# Density in Mg/m³: 5.69


The least stable of them is b.


## a
# TcPF3 PBE-GGA relaxed
data_TcPF3
_chemical_formula_sum 'Tc1 P1 F3'
_symmetry_space_group_name_H-M 'P m -3 m'
_symmetry_Int_Tables_number 221
_symmetry_space_group_name_Hall '-P 4 2 3'
_cell_length_a 4.126
_cell_length_b 4.126
_cell_length_c 4.126
_cell_angle_alpha 90.00
_cell_angle_beta 90.00
_cell_angle_gamma 90.00
loop_
_atom_site_label
_atom_site_fract_x
_atom_site_fract_y
_atom_site_fract_z
_atom_site_occupancy
Tc1 0.000 0.000 0.000 1
P1 0.500 0.500 0.500 1
F1 0.000 0.000 0.500 1
# Density in Mg/m³: 4.40


## b
# TcPF3 PBE-GGA relaxed
data_TcPF3
_chemical_formula_sum 'Tc1 P1 F3'
_symmetry_space_group_name_H-M 'P m -3 m'
_symmetry_Int_Tables_number 221
_symmetry_space_group_name_Hall '-P 4 2 3'
_cell_length_a 4.269
_cell_length_b 4.269
_cell_length_c 4.269
_cell_angle_alpha 90.00
_cell_angle_beta 90.00
_cell_angle_gamma 90.00
loop_
_atom_site_label
_atom_site_fract_x
_atom_site_fract_y
_atom_site_fract_z
_atom_site_occupancy
Tc1 0.000 0.000 0.000 1
P1 0.500 0.500 0.500 1
F1 0.000 0.500 0.500 1
# Density in Mg/m³: 3.97


The least stable of them is b.


## a
# TcP3F PBE-GGA relaxed
data_TcP3F
_chemical_formula_sum 'Tc1 P3 F1'
_symmetry_space_group_name_H-M 'P m -3 m'
_symmetry_Int_Tables_number 221
_symmetry_space_group_name_Hall '-P 4 2 3'
_cell_length_a 4.569
_cell_length_b 4.569
_cell_length_c 4.569
_cell_angle_alpha 90.00
_cell_angle_beta 90.00
_cell_angle_gamma 90.00
loop_
_atom_site_label
_atom_site_fract_x
_atom_site_fract_y
_atom_site_fract_z
_atom_site_occupancy
Tc1 0.000 0.000 0.000 1
P1 0.000 0.000 0.500 1
F1 0.500 0.500 0.500 1
# Density in Mg/m³: 3.66


## b
# TcP3F PBE-GGA relaxed
data_TcP3F
_chemical_formula_sum 'Tc1 P3 F1'
_symmetry_space_group_name_H-M 'P m -3 m'
_symmetry_Int_Tables_number 221
_symmetry_space_group_name_Hall '-P 4 2 3'
_cell_length_a 4.187
_cell_length_b 4.187
_cell_length_c 4.187
_cell_angle_alpha 90.00
_cell_angle_beta 90.00
_cell_angle_gamma 90.00
loop_
_atom_site_label
_atom_site_fract_x
_atom_site_fract_y
_atom_site_fract_z
_atom_site_occupancy
Tc1 0.000 0.000 0.000 1
P1 0.000 0.500 0.500 1
F1 0.500 0.500 0.500 1
# Density in Mg/m³: 4.75


The least stable of them is b.


## a
# TePF3 PBE-GGA relaxed
data_TePF3
_chemical_formula_sum 'Te1 P1 F3'
_symmetry_space_group_name_H-M 'P m -3 m'
_symmetry_Int_Tables_number 221
_symmetry_space_group_name_Hall '-P 4 2 3'
_cell_length_a 4.325
_cell_length_b 4.325
_cell_length_c 4.325
_cell_angle_alpha 90.00
_cell_angle_beta 90.00
_cell_angle_gamma 90.00
loop_
_atom_site_label
_atom_site_fract_x
_atom_site_fract_y
_atom_site_fract_z
_atom_site_occupancy
Te1 0.000 0.000 0.000 1
P1 0.500 0.500 0.500 1
F1 0.000 0.500 0.500 1
# Density in Mg/m³: 4.43


## b
# TePF3 PBE-GGA relaxed
data_TePF3
_chemical_formula_sum 'Te1 P1 F3'
_symmetry_space_group_name_H-M 'P m -3 m'
_symmetry_Int_Tables_number 221
_symmetry_space_group_name_Hall '-P 4 2 3'
_cell_length_a 4.548
_cell_length_b 4.548
_cell_length_c 4.548
_cell_angle_alpha 90.00
_cell_angle_beta 90.00
_cell_angle_gamma 90.00
loop_
_atom_site_label
_atom_site_fract_x
_atom_site_fract_y
_atom_site_fract_z
_atom_site_occupancy
Te1 0.000 0.000 0.000 1
P1 0.500 0.500 0.500 1
F1 0.000 0.000 0.500 1
# Density in Mg/m³: 3.81


The least stable of them is b.